# 1
A geometry-optimized Ac3In2Cu4Ge2 structure. Source: Alexandria, functional PBE.

Cell: 4.4260 4.4260 15.9934 Å, 90.00 90.00 120.00°
Space group P-3m1 (No. 164)
Symmetry-distinct sites (fractional):
1 Ac 0.0000 0.0000 0.0000 x1
2 Ac 0.0000 0.0000 0.2691 x2
3 In 0.3333 0.6667 0.5622 x2
4 Cu 0.3333 0.6667 0.3915 x2
5 Cu 0.3333 0.6667 0.8637 x2
6 Ge 0.3333 0.6667 0.1333 x2

VASP energy (eV/atom): -4.312
Formation enthalpy at 0 K (eV per atom): -0.3641
Fermi-level density of states (states/eV/cell): 5.80
Volume (Å³/atom): 24.67
Theoretical density (g/cm3): 8.02

# 2
A geometry-optimized Ac2CuGe4Ir3 structure. Source: Alexandria, functional PBE.

Cell: 4.423 4.423 10.186 Å, 90.00 90.00 90.00°
Space group P-4m2 (No. 115)
Symmetry-distinct sites (fractional):
1 Ac 0.000 0.500 0.247 x2
2 Cu 0.000 0.000 0.500 x1
3 Ge 0.000 0.000 0.000 x1
4 Ge 0.000 0.500 0.627 x2
5 Ge 0.500 0.500 0.000 x1
6 Ir 0.000 0.500 0.875 x2
7 Ir 0.500 0.500 0.500 x1

VASP energy (eV/atom): -6.388
Formation enthalpy at 0 K (eV per atom): -0.6510
Fermi-level density of states (states/eV/cell): 6.32
Volume (Å³/atom): 19.92
Theoretical density (g/cm3): 11.54

# 3
A geometry-optimized Ac2Cu3Ge4Ir structure. Source: Alexandria, functional PBE.

Cell: 4.384 4.384 10.227 Å, 90.00 90.00 90.00°
Space group P-4m2 (No. 115)
Symmetry-distinct sites (fractional):
1 Ac 0.000 0.500 0.249 x2
2 Cu 0.000 0.000 0.000 x1
3 Cu 0.000 0.500 0.625 x2
4 Ge 0.000 0.000 0.500 x1
5 Ge 0.000 0.500 0.874 x2
6 Ge 0.500 0.500 0.500 x1
7 Ir 0.500 0.500 0.000 x1

VASP energy (eV/atom): -5.297
Formation enthalpy at 0 K (eV per atom): -0.5129
Fermi-level density of states (states/eV/cell): 6.06
Volume (Å³/atom): 19.66
Theoretical density (g/cm3): 9.52

# 4
A geometry-optimized Ac2CuGe3Ir4 structure. Source: Alexandria, functional PBE.

Cell: 4.300 4.300 10.582 Å, 90.00 90.00 90.00°
Space group P-4m2 (No. 115)
Symmetry-distinct sites (fractional):
1 Ac 0.000 0.500 0.243 x2
2 Cu 0.500 0.500 0.000 x1
3 Ge 0.000 0.000 0.000 x1
4 Ge 0.000 0.500 0.626 x2
5 Ir 0.000 0.000 0.500 x1
6 Ir 0.000 0.500 0.868 x2
7 Ir 0.500 0.500 0.500 x1

VASP energy (eV/atom): -6.806
Formation enthalpy at 0 K (eV per atom): -0.6452
Fermi-level density of states (states/eV/cell): 4.44
Volume (Å³/atom): 19.57
Theoretical density (g/cm3): 12.77

Which of these has the lowest formation enthalpy at 0 K? Ac2CuGe4Ir3